Density functional theory data (PBE+U) for crystalline VTeI2F at its relaxed geometry.

Summary:
D(E_F)	7.22	states/eV/f.u.
SG	No. 123
relative energy among the computed polymorphs	243	meV per atom

a b c (Å): 5.863 5.863 4.252
angles (deg): 90.00 90.00 90.00
Atoms (fractional coordinates):
V: 0.000 0.000 0.000
Te: 0.500 0.500 0.000
I: 0.000 0.500 0.500
I: 0.500 0.000 0.500
F: 0.500 0.500 0.500